Tb2PmNd5Th | GGA-PBE | optimized geometry

Calculated values
Crystal system ... orthorhombic
Spin magnetization ... 0.00 μB per formula unit
Formation enthalpy at 0 K ... 0.16 eV per atom

Geometry as CIF:
```
data_Tb2PmNd5Th
_chemical_formula_sum 'Tb8 Pm4 Nd20 Th4'
_space_group_name_H-M_alt 'C m c 21'
_space_group_IT_number 36
_cell_length_a 5.733
_cell_length_b 20.576
_cell_length_c 10.606
_cell_angle_alpha 90.00
_cell_angle_beta 90.00
_cell_angle_gamma 90.00
loop_
_space_group_symop_operation_xyz
'x,y,z'
'-x,-y,z+1/2'
'-x,y,z'
'x,-y,z+1/2'
'x+1/2,y+1/2,z'
'-x+1/2,-y+1/2,z+1/2'
'-x+1/2,y+1/2,z'
'x+1/2,-y+1/2,z+1/2'
loop_
_atom_site_label
_atom_site_type_symbol
_atom_site_fract_x
_atom_site_fract_y
_atom_site_fract_z
Tb1 Tb 0.000 0.114 0.000
Tb2 Tb 0.000 0.116 0.584
Pm1 Pm 0.000 0.409 0.717
Nd1 Nd 0.000 0.015 0.287
Nd2 Nd 0.000 0.277 0.580
Nd3 Nd 0.000 0.294 0.970
Nd4 Nd 0.000 0.388 0.293
Nd5 Nd 0.000 0.479 0.008
Th1 Th 0.000 0.199 0.278
```

---

Np2TeH3 | GGA-PBE | optimized geometry

Calculated values
Crystal system ... monoclinic
Spin magnetization ... 0.31 μB per formula unit

Geometry as CIF:
```
data_Np2TeH3
_chemical_formula_sum 'Np8 Te4 H12'
_space_group_name_H-M_alt 'C 1 2/m 1'
_space_group_IT_number 12
_cell_length_a 13.797
_cell_length_b 3.852
_cell_length_c 7.415
_cell_angle_alpha 90.00
_cell_angle_beta 112.35
_cell_angle_gamma 90.00
loop_
_space_group_symop_operation_xyz
'x,y,z'
'-x,-y,-z'
'-x,y,-z'
'x,-y,z'
'x+1/2,y+1/2,z'
'-x+1/2,-y+1/2,-z'
'-x+1/2,y+1/2,-z'
'x+1/2,-y+1/2,z'
loop_
_atom_site_label
_atom_site_type_symbol
_atom_site_fract_x
_atom_site_fract_y
_atom_site_fract_z
Np1 Np 0.016 0.000 0.213
Np2 Np 0.169 0.500 0.628
Te1 Te 0.157 0.500 0.072
H1 H 0.011 0.500 0.367
H2 H 0.108 0.000 0.680
H3 H 0.180 0.000 0.452
```

---

RuRh3Br | GGA-PBE | optimized geometry

Calculated values
Crystal system ... cubic
Spin magnetization ... 4.38 μB per formula unit
E_form (uncorrected) ... 1.4403 eV/atom
Offset from the most stable computed form ... 0.070 eV/atom

Geometry as CIF:
```
data_RuRh3Br
_chemical_formula_sum 'Ru1 Rh3 Br1'
_space_group_name_H-M_alt 'P m -3 m'
_space_group_IT_number 221
_space_group_name_Hall '-P 4 2 3'
_cell_length_a 4.563
_cell_length_b 4.563
_cell_length_c 4.563
_cell_angle_alpha 90.00
_cell_angle_beta 90.00
_cell_angle_gamma 90.00
loop_
_atom_site_label
_atom_site_type_symbol
_atom_site_fract_x
_atom_site_fract_y
_atom_site_fract_z
Ru1 Ru 0.000 0.000 0.000
Rh1 Rh 0.000 0.500 0.500
Br1 Br 0.500 0.500 0.500
```

---

YAgMo | GGA-PBE | optimized geometry

Calculated values
Crystal system ... tetragonal
Spin magnetization ... 0.00 μB per formula unit
Offset from the most stable computed form ... 0.000 eV/atom
Formation enthalpy at 0 K ... 0.39 eV per atom

Geometry as CIF:
```
data_YAgMo
_chemical_formula_sum 'Y2 Ag2 Mo2'
_space_group_name_H-M_alt 'I 4 m m'
_space_group_IT_number 107
_space_group_name_Hall 'I 4 -2'
_cell_length_a 2.969
_cell_length_b 2.969
_cell_length_c 13.657
_cell_angle_alpha 90.00
_cell_angle_beta 90.00
_cell_angle_gamma 90.00
loop_
_atom_site_label
_atom_site_type_symbol
_atom_site_fract_x
_atom_site_fract_y
_atom_site_fract_z
Y1 Y 0.000 0.000 0.000
Ag1 Ag 0.000 0.000 0.320
Mo1 Mo 0.000 0.000 0.670
```

---

LiHf4Rh5 | GGA-PBE | optimized geometry

Calculated values
Crystal system ... tetragonal
Spin magnetization ... 0.00 μB per formula unit
Formation enthalpy at 0 K ... -0.83 eV per atom

Geometry as CIF:
```
data_LiHf4Rh5
_chemical_formula_sum 'Li1 Hf4 Rh5'
_space_group_name_H-M_alt 'P 4/m m m'
_space_group_IT_number 123
_space_group_name_Hall '-P 4 2'
_cell_length_a 3.285
_cell_length_b 3.285
_cell_length_c 15.396
_cell_angle_alpha 90.00
_cell_angle_beta 90.00
_cell_angle_gamma 90.00
loop_
_atom_site_label
_atom_site_type_symbol
_atom_site_fract_x
_atom_site_fract_y
_atom_site_fract_z
Li1 Li 0.000 0.000 0.000
Hf1 Hf 0.000 0.000 0.183
Hf2 Hf 0.000 0.000 0.395
Rh1 Rh 0.500 0.500 0.093
Rh2 Rh 0.500 0.500 0.294
Rh3 Rh 0.500 0.500 0.500
```

---

TlZnOs | GGA-PBE | optimized geometry

Calculated values
Crystal system ... cubic
Spin magnetization ... 0.00 μB per formula unit
Offset from the most stable computed form ... 0.203 eV/atom
Formation enthalpy at 0 K ... 0.87 eV per atom

Geometry as CIF:
```
data_TlZnOs
_chemical_formula_sum 'Tl4 Zn4 Os4'
_space_group_name_H-M_alt 'F -4 3 m'
_space_group_IT_number 216
_space_group_name_Hall 'F -4 2 3'
_cell_length_a 6.272
_cell_length_b 6.272
_cell_length_c 6.272
_cell_angle_alpha 90.00
_cell_angle_beta 90.00
_cell_angle_gamma 90.00
loop_
_atom_site_label
_atom_site_type_symbol
_atom_site_fract_x
_atom_site_fract_y
_atom_site_fract_z
Tl1 Tl 0.000 0.000 0.000
Zn1 Zn 0.000 0.000 0.500
Os1 Os 0.250 0.250 0.250
```

---

CaCd4Tc4O12 | GGA-PBE | optimized geometry

Calculated values
Crystal system ... triclinic
Spin magnetization ... 0.03 μB per formula unit
E_form (uncorrected) ... -1.2000 eV/atom
Offset from the most stable computed form ... 0.000 eV/atom

Geometry as CIF:
```
data_CaCd4Tc4O12
_chemical_formula_sum 'Ca1 Cd4 Tc4 O12'
_space_group_name_H-M_alt 'P 1'
_space_group_IT_number 1
_cell_length_a 5.461
_cell_length_b 5.524
_cell_length_c 9.197
_cell_angle_alpha 80.64
_cell_angle_beta 81.30
_cell_angle_gamma 87.44
loop_
_space_group_symop_operation_xyz
'x,y,z'
loop_
_atom_site_label
_atom_site_type_symbol
_atom_site_fract_x
_atom_site_fract_y
_atom_site_fract_z
Ca1 Ca 0.000 0.000 0.000
Cd1 Cd 0.107 0.044 0.590
Cd2 Cd 0.329 0.267 0.153
Cd3 Cd 0.575 0.547 0.616
Cd4 Cd 0.657 0.607 0.162
Tc1 Tc 0.018 0.505 0.814
Tc2 Tc 0.140 0.608 0.379
Tc3 Tc 0.534 0.000 0.815
Tc4 Tc 0.653 0.110 0.380
O1 O 0.019 0.412 0.032
O2 O 0.237 0.215 0.773
O3 O 0.311 0.731 0.777
O4 O 0.365 0.883 0.393
O5 O 0.399 0.364 0.461
O6 O 0.409 0.946 0.035
O7 O 0.692 0.013 0.594
O8 O 0.736 0.279 0.830
O9 O 0.794 0.767 0.878
O10 O 0.887 0.858 0.271
O11 O 0.930 0.337 0.361
O12 O 0.986 0.607 0.587
```

---

BaMn3Co | GGA-PBE | optimized geometry

Calculated values
Crystal system ... cubic
Spin magnetization ... 12.81 μB per formula unit
Offset from the most stable computed form ... 0.000 eV/atom
Formation enthalpy at 0 K ... 0.62 eV per atom

Geometry as CIF:
```
data_BaMn3Co
_chemical_formula_sum 'Ba1 Mn3 Co1'
_space_group_name_H-M_alt 'P m -3 m'
_space_group_IT_number 221
_space_group_name_Hall '-P 4 2 3'
_cell_length_a 4.784
_cell_length_b 4.784
_cell_length_c 4.784
_cell_angle_alpha 90.00
_cell_angle_beta 90.00
_cell_angle_gamma 90.00
loop_
_atom_site_label
_atom_site_type_symbol
_atom_site_fract_x
_atom_site_fract_y
_atom_site_fract_z
Ba1 Ba 0.000 0.000 0.000
Mn1 Mn 0.000 0.500 0.500
Co1 Co 0.500 0.500 0.500
```

---

Looking at density for the records above, in order, we have 7.5, 11.0, 8.6, 8.1, 12.3, 12.4, 6.6, 5.5 g cm⁻³.
Looking at calculated total energy for the records above, in order, we have -175.45, -163.55, -25.80, -37.96, -86.79, -49.04, -131.82, -33.46 eV per cell.